This record from Alexandria describes crystalline Na4Er3TaS8 at its relaxed geometry. The functional is GGA-PBE.

Properties
For the raw formation energy, the calculation gives -1.5886 eV per atom. As for the density of states at the Fermi level: 5.5 states/eV/f.u. The volume comes out at 345 Å³/cell. The space group is R-3m (166).

POSCAR file:
```
Na4Er3TaS8
1.0
7.7024 0.0000 0.0000
0.0000 8.0464 0.2324
-3.8512 -3.8465 5.4493
Er S Na Ta
3 8 4 1
Direct
0.5000 0.5000 0.5000 Er
0.5000 0.5000 0.0000 Er
0.0000 0.5000 0.5000 Er
0.7678 0.2788 0.0108 S
0.2571 0.2714 0.5141 S
0.7429 0.7286 0.4859 S
0.7677 0.2787 0.5355 S
0.7570 0.7212 0.9892 S
0.2323 0.7213 0.4645 S
0.2322 0.7212 0.9892 S
0.2430 0.2788 0.0108 S
0.0000 0.0000 0.0000 Na
0.0000 0.0000 0.5000 Na
0.5000 0.0000 0.0000 Na
0.5000 0.0000 0.5000 Na
0.0000 0.5000 0.0000 Ta
```